1.
First-principles (PBE) data for a relaxed Ag3HgPd5 crystal, as listed in Alexandria via LeMat-Bulk.

Results
DOS at the Fermi energy = 2.74 states/eV/f.u.
Total magnetization = 0.0 Bohr magnetons per cell
Crystal system = tetragonal
VASP energy = -129.4 eV/cell
Volume = 18.64 Å³/atom

CIF file:
```
data_Ag3HgPd5
_chemical_formula_sum 'Ag12 Hg4 Pd20'
_cell_length_a 6.735
_cell_length_b 6.735
_cell_length_c 14.795
_cell_angle_alpha 90.00
_cell_angle_beta 90.00
_cell_angle_gamma 90.00
_space_group_name_H-M_alt 'I 4/m c m'
_space_group_IT_number 140
_space_group_name_Hall '-I 4 2c'
loop_
_atom_site_label
_atom_site_type_symbol
_atom_site_fract_x
_atom_site_fract_y
_atom_site_fract_z
Ag1 Ag 0.000 0.000 0.250
Ag2 Ag 0.130 0.370 0.000
Hg1 Hg 0.000 0.500 0.250
Pd1 Pd 0.000 0.000 0.000
Pd2 Pd 0.232 0.268 0.351
```

***

2.
First-principles (PBE) data for a relaxed Sc8Zn2Co crystal, as listed in Alexandria via LeMat-Bulk.

Results
DOS at the Fermi energy = 13.94 states/eV/f.u.
Total magnetization = 0.0 Bohr magnetons per cell
Crystal system = monoclinic
Energy above the lowest structure with this stoichiometry = 62.2 meV/atom
VASP energy = -123.5 eV/cell
Volume = 21.52 Å³/atom

CIF file:
```
data_Sc8Zn2Co
_chemical_formula_sum 'Sc16 Zn4 Co2'
_cell_length_a 6.933
_cell_length_b 14.518
_cell_length_c 5.625
_cell_angle_alpha 90.00
_cell_angle_beta 123.26
_cell_angle_gamma 90.00
_space_group_name_H-M_alt 'C 1 m 1'
_space_group_IT_number 8
loop_
_space_group_symop_operation_xyz
'x,y,z'
'x,-y,z'
'x+1/2,y+1/2,z'
'x+1/2,-y+1/2,z'
loop_
_atom_site_label
_atom_site_type_symbol
_atom_site_fract_x
_atom_site_fract_y
_atom_site_fract_z
Sc1 Sc 0.000 0.000 0.000
Sc2 Sc 0.004 0.114 0.483
Sc3 Sc 0.040 0.388 0.844
Sc4 Sc 0.051 0.500 0.365
Sc5 Sc 0.275 0.194 0.147
Zn1 Zn 0.267 0.284 0.653
Co1 Co 0.267 0.000 0.859
```

***

3.
First-principles (PBE) data for a relaxed Zn2InIr crystal, as listed in Alexandria via LeMat-Bulk.

Results
DOS at the Fermi energy = 1.55 states/eV/f.u.
Total magnetization = 0.0 Bohr magnetons per cell
Crystal system = orthorhombic
VASP energy = -14.3 eV/cell
Volume = 16.44 Å³/atom

CIF file:
```
data_Zn2InIr
_chemical_formula_sum 'Zn2 In1 Ir1'
_cell_length_a 3.118
_cell_length_b 3.743
_cell_length_c 5.635
_cell_angle_alpha 90.00
_cell_angle_beta 90.00
_cell_angle_gamma 90.00
_space_group_name_H-M_alt 'P m m m'
_space_group_IT_number 47
loop_
_space_group_symop_operation_xyz
'x,y,z'
'-x,-y,-z'
'-x,-y,z'
'x,y,-z'
'x,-y,-z'
'-x,y,z'
'-x,y,-z'
'x,-y,z'
loop_
_atom_site_label
_atom_site_type_symbol
_atom_site_fract_x
_atom_site_fract_y
_atom_site_fract_z
Zn1 Zn 0.000 0.000 0.219
In1 In 0.500 0.500 0.500
Ir1 Ir 0.500 0.500 0.000
```

***

4.
First-principles (PBE) data for a relaxed La2Ce3S8 crystal, as listed in Alexandria via LeMat-Bulk.

Results
DOS at the Fermi energy = 11.94 states/eV/f.u.
Total magnetization = 4.0 Bohr magnetons per cell
Crystal system = orthorhombic
Uncorrected formation energy = -1948 meV/atom
VASP energy = -172.0 eV/cell
Volume = 25.09 Å³/atom

CIF file:
```
data_La2Ce3S8
_chemical_formula_sum 'La4 Ce6 S16'
_cell_length_a 9.833
_cell_length_b 13.898
_cell_length_c 4.772
_cell_angle_alpha 90.00
_cell_angle_beta 90.00
_cell_angle_gamma 90.00
_space_group_name_H-M_alt 'C m m m'
_space_group_IT_number 65
_space_group_name_Hall '-C 2 2'
loop_
_atom_site_label
_atom_site_type_symbol
_atom_site_fract_x
_atom_site_fract_y
_atom_site_fract_z
La1 La 0.000 0.232 0.000
Ce1 Ce 0.000 0.500 0.000
Ce2 Ce 0.222 0.000 0.500
S1 S 0.000 0.123 0.500
S2 S 0.000 0.385 0.500
S3 S 0.239 0.380 0.000
```

***

5.
First-principles (PBE) data for a relaxed ZnCuOs crystal, as listed in Alexandria via LeMat-Bulk.

Results
DOS at the Fermi energy = 1.89 states/eV/f.u.
Total magnetization = 0.0 Bohr magnetons per cell
Crystal system = trigonal
Energy above the lowest structure with this stoichiometry = 164.8 meV/atom
VASP energy = -16.1 eV/cell
Volume = 13.60 Å³/atom

CIF file:
```
data_ZnCuOs
_chemical_formula_sum 'Zn1 Cu1 Os1'
_cell_length_a 2.7003
_cell_length_b 2.7003
_cell_length_c 6.4631
_cell_angle_alpha 90.00
_cell_angle_beta 90.00
_cell_angle_gamma 120.00
_space_group_name_H-M_alt 'P 3 m 1'
_space_group_IT_number 156
loop_
_space_group_symop_operation_xyz
'x,y,z'
'-y,x-y,z'
'-x+y,-x,z'
'-y,-x,z'
'-x+y,y,z'
'x,x-y,z'
loop_
_atom_site_label
_atom_site_type_symbol
_atom_site_fract_x
_atom_site_fract_y
_atom_site_fract_z
Zn1 Zn 0.0000 0.0000 0.0000
Cu1 Cu 0.3333 0.6667 0.3228
Os1 Os 0.6667 0.3333 0.6576
```

***

6.
First-principles (PBE) data for a relaxed KYRe2 crystal, as listed in Alexandria via LeMat-Bulk.

Results
DOS at the Fermi energy = 3.52 states/eV/f.u.
Total magnetization = 0.0 Bohr magnetons per cell
Crystal system = monoclinic
Energy above the lowest structure with this stoichiometry = 68.7 meV/atom
VASP energy = -30.1 eV/cell
Volume = 27.67 Å³/atom

CIF file:
```
data_KYRe2
_chemical_formula_sum 'K1 Y1 Re2'
_cell_length_a 3.012
_cell_length_b 4.083
_cell_length_c 9.085
_cell_angle_alpha 90.00
_cell_angle_beta 97.92
_cell_angle_gamma 90.00
_space_group_name_H-M_alt 'P 1 m 1'
_space_group_IT_number 6
loop_
_space_group_symop_operation_xyz
'x,y,z'
'x,-y,z'
loop_
_atom_site_label
_atom_site_type_symbol
_atom_site_fract_x
_atom_site_fract_y
_atom_site_fract_z
K1 K 0.000 0.000 0.000
Y1 Y 0.385 0.500 0.588
Re1 Re 0.500 0.500 0.296
Re2 Re 0.910 0.000 0.383
```

***

> What is the formula in the second record?

Sc8Zn2Co

***

> What is the DOS at the Fermi energy in the fifth record?

1.89 states/eV/f.u.